Below is TlCo2F2 after structural relaxation, with properties calculated at the PBE with a Hubbard U level.

a b c (Å): 8.1870 8.1870 2.9524
angles (deg): 90.00 90.00 90.00
Sites, in units of the cell vectors:
Tl (0.0000, 0.0000, 0.0000)
Tl (0.5000, 0.5000, 0.0000)
Co (0.1045, 0.3955, 0.0000)
Co (0.3955, 0.8955, 0.0000)
Co (0.6045, 0.1045, 0.0000)
Co (0.8955, 0.6045, 0.0000)
F (0.2204, 0.2796, 0.5000)
F (0.2796, 0.7796, 0.5000)
F (0.7204, 0.2204, 0.5000)
F (0.7796, 0.7204, 0.5000)

## Properties
space group: P4/mbm (127)
calculated total energy: -37.82 eV/cell
density: 6.05 g/cm3
M_tot: 0.976 μB per atom